Material: Pa2Si2Ir
Method: DFT, GGA-PBE
State: optimized geometry

Values from the calculation:
As for the crystal system: monoclinic. The value obtained for the total energy is -85.07 eV for the cell shown. Its excess energy over the best structure of this formula in the dataset is 12 meV per atom. The value obtained for the raw formation energy is -0.7673 eV per atom. The value obtained for the total magnetic moment is 0.00 μB/f.u.

Cell lengths 5.5570, 5.5570, 10.2862 Å; angles 115.55, 115.55, 44.56 degrees
Last column: nearest neighbours and their distance in Å.
Element x y z (fractional)
Pa: 0.0072 0.0072 0.3249  7 Si 2.94-3.25, 3 Ir 2.95-3.04
Pa: 0.1878 0.1878 0.1107  6 Si 2.92-3.06, 2 Ir 3.00
Pa: 0.8122 0.8122 0.8893  6 Si 2.92-3.06, 2 Ir 3.00
Pa: 0.9928 0.9928 0.6751  7 Si 2.94-3.25, 3 Ir 2.95-3.04
Si: 0.3608 0.3608 0.4436  2 Ir 2.50, 1 Si 2.54
Si: 0.4718 0.4718 0.1108  1 Ir 2.53, 1 Si 2.60
Si: 0.5282 0.5282 0.8892  1 Ir 2.53, 1 Si 2.60
Si: 0.6392 0.6392 0.5564  2 Ir 2.50, 1 Si 2.54
Ir: 0.2764 0.2764 0.6675  3 Si 2.50-2.53
Ir: 0.7236 0.7236 0.3325  3 Si 2.50-2.53

=====

Material: Pa3Si3Ir
Method: DFT, GGA-PBE
State: optimized geometry

Values from the calculation:
As for the crystal system: monoclinic. The value obtained for the total energy is -116.72 eV for the cell shown. The value obtained for the raw formation energy is -0.6777 eV per atom. The value obtained for the total magnetic moment is 0.00 μB/f.u.

Cell lengths 5.5863, 5.5863, 13.8386 Å; angles 108.28, 108.28, 44.09 degrees
Last column: nearest neighbours and their distance in Å.
Element x y z (fractional)
Pa: 0.0294 0.0294 0.3778  6 Si 2.94-3.13, 3 Ir 2.98-3.04
Pa: 0.1023 0.1023 0.9235  7 Si 2.93-3.08
Pa: 0.2444 0.2444 0.2293  6 Si 2.93-3.07, 2 Ir 3.00
Pa: 0.7556 0.7556 0.7707  6 Si 2.93-3.07, 2 Ir 3.00
Pa: 0.8977 0.8977 0.0765  7 Si 2.93-3.08
Pa: 0.9706 0.9706 0.6222  6 Si 2.94-3.13, 3 Ir 2.98-3.04
Si: 0.3682 0.3682 0.4609  3 Ir 2.50-2.77, 1 Si 2.57
Si: 0.3851 0.3851 0.9241  2 Si 2.57-2.59
Si: 0.4729 0.4729 0.7713  1 Ir 2.53, 1 Si 2.57
Si: 0.5271 0.5271 0.2287  1 Ir 2.53, 1 Si 2.57
Si: 0.6149 0.6149 0.0759  2 Si 2.57-2.59
Si: 0.6318 0.6318 0.5391  3 Ir 2.50-2.77, 1 Si 2.57
Ir: 0.2553 0.2553 0.6160  4 Si 2.50-2.77
Ir: 0.7447 0.7447 0.3840  4 Si 2.50-2.77

=====

Material: PaSiIr2
Method: DFT, GGA-PBE
State: optimized geometry

Values from the calculation:
As for the crystal system: monoclinic. The value obtained for the total energy is -34.61 eV for the cell shown. The value obtained for the raw formation energy is -0.4928 eV per atom. The value obtained for the total magnetic moment is 0.00 μB/f.u.

Cell lengths 4.4435, 3.8289, 4.4674 Å; angles 90.00, 101.57, 90.00 degrees
Last column: nearest neighbours and their distance in Å.
Element x y z (fractional)
Pa: 0.0000 0.0000 0.0000  4 Ir 2.76, 2 Si 2.82
Si: 0.5000 0.0000 0.5000  4 Ir 2.41
Ir: 0.2889 0.5000 0.7148  2 Si 2.41
Ir: 0.7111 0.5000 0.2852  2 Si 2.41

=====

Material: Pa2Si5Ir
Method: DFT, GGA-PBE
State: optimized geometry

Values from the calculation:
As for the crystal system: tetragonal. The value obtained for the total energy is -58.72 eV for the cell shown. The value obtained for the raw formation energy is -0.4695 eV per atom. The value obtained for the total magnetic moment is 0.00 μB/f.u.

Cell lengths 5.9083, 5.9083, 5.9083 Å; angles 120.47, 120.47, 89.18 degrees
Last column: nearest neighbours and their distance in Å.
Element x y z (fractional)
Pa: 0.0000 0.5000 0.5000  10 Si 2.92-3.02
Pa: 0.5000 0.0000 0.5000  10 Si 2.92-3.02
Si: 0.0369 0.0369 0.0000  1 Ir 2.39, 4 Si 2.55
Si: 0.0475 0.0475 0.5787  1 Ir 2.40, 3 Si 2.47-2.55
Si: 0.0475 0.4689 0.0000  1 Ir 2.40, 3 Si 2.47-2.55
Si: 0.4689 0.0475 0.0000  1 Ir 2.40, 3 Si 2.47-2.55
Si: 0.4689 0.4689 0.4213  1 Ir 2.40, 3 Si 2.47-2.55
Ir: 0.7530 0.7530 0.0000  5 Si 2.39-2.40